A plane-wave DFT calculation with GGA-PBE was carried out for a relaxed structure of Ni3H6Pd.

Unit cell a=6.827 b=2.634 c=8.980 alpha=90.00 beta=109.60 gamma=90.00
Fractional positions:
Ni 0.022 0.250 0.381
Ni 0.246 0.750 0.250
Ni 0.423 0.250 0.087
Ni 0.577 0.750 0.913
Ni 0.754 0.250 0.750
Ni 0.978 0.750 0.619
H 0.004 0.750 0.254
H 0.136 0.250 0.591
H 0.196 0.250 0.122
H 0.283 0.250 0.388
H 0.360 0.750 0.962
H 0.494 0.750 0.230
H 0.506 0.250 0.770
H 0.640 0.250 0.038
H 0.717 0.750 0.612
H 0.804 0.750 0.878
H 0.864 0.750 0.409
H 0.996 0.250 0.746
Pd 0.371 0.750 0.591
Pd 0.629 0.250 0.409

Output
E above lowest polymorph in meV per atom: 0
Spin magnetization in μB/atom: 0.000